First-principles (PBE) data for a relaxed structure of AlSi2P, as listed in Alexandria.

```
AlSi2P
1.0
3.4178 0.0000 0.0000
0.0000 3.4178 0.0000
0.0000 0.0000 6.1176
Al Si P
1 2 1
Direct
0.0000 0.0000 0.0000 Al
0.0000 0.0000 0.4095 Si
0.5000 0.5000 0.5264 Si
0.5000 0.5000 0.8952 P
```

Output
The value obtained for the total moment is 0.00 μB/f.u. The value obtained for the raw formation energy is 0.02 eV/atom. Its offset from the most stable computed form is 0.0 meV/atom. The theoretical density comes out at 2.652 g/cm³.

First-principles (PBE) data for a relaxed structure of Al2SiP, as listed in Alexandria.

```
Al2SiP
1.0
3.3832 0.0000 0.0000
0.0000 4.2634 0.0000
0.0000 0.0000 4.2767
Al Si P
2 1 1
Direct
0.0000 0.0000 0.0000 Al
0.0000 0.5000 0.5000 Al
0.5000 0.0000 0.5000 Si
0.5000 0.5000 0.0000 P
```

Output
The value obtained for the total moment is 0.00 μB/f.u. The value obtained for the raw formation energy is 0.19 eV/atom. Its offset from the most stable computed form is 228.8 meV/atom. The theoretical density comes out at 3.042 g/cm³.

First-principles (PBE) data for a relaxed structure of AlSiP, as listed in Alexandria.

```
AlSiP
1.0
2.7849 0.0000 0.0000
-1.3925 2.4118 0.0000
0.0000 0.0000 7.2352
Al Si P
1 1 1
Direct
0.0000 0.0000 0.0000 Al
0.3333 0.6667 0.7034 Si
0.6667 0.3333 0.2912 P
```

Output
The value obtained for the total moment is 0.00 μB/f.u. The value obtained for the raw formation energy is 0.40 eV/atom. Its offset from the most stable computed form is 762.1 meV/atom. The theoretical density comes out at 2.940 g/cm³.

First-principles (PBE) data for a relaxed structure of Al2SiP, as listed in Alexandria.

```
Al2SiP
1.0
3.2731 0.0000 0.0000
0.0000 4.5373 0.0000
0.0000 0.0000 8.4821
Al Si P
4 2 2
Direct
0.0000 0.0000 0.0000 Al
0.0000 0.5000 0.2716 Al
0.5000 0.0000 0.2716 Al
0.5000 0.5000 0.0000 Al
0.0000 0.0000 0.5280 Si
0.5000 0.5000 0.5280 Si
0.0000 0.5000 0.7602 P
0.5000 0.0000 0.7602 P
```

Output
The value obtained for the total moment is 0.00 μB/f.u. The value obtained for the raw formation energy is 0.31 eV/atom. Its offset from the most stable computed form is 351.8 meV/atom. The theoretical density comes out at 2.980 g/cm³.

First-principles (PBE) data for a relaxed structure of AlSiP2, as listed in Alexandria.

```
AlSiP2
1.0
2.6286 0.0000 0.0000
0.0000 4.8123 0.0000
-1.2851 0.0000 5.3517
Al Si P
1 1 2
Direct
0.0000 0.0000 0.0000 Al
0.7292 0.5000 0.4612 Si
0.6936 0.0000 0.3962 P
0.9429 0.5000 0.8927 P
```

Output
The value obtained for the total moment is 0.00 μB/f.u. The value obtained for the raw formation energy is 0.09 eV/atom. Its offset from the most stable computed form is 257.4 meV/atom. The theoretical density comes out at 2.870 g/cm³.

First-principles (PBE) data for a relaxed structure of AlSiP2, as listed in Alexandria.

```
AlSiP2
1.0
5.3765 0.0000 0.0000
0.0000 5.3765 0.0000
0.0000 0.0000 10.8270
Al Si P
4 4 8
Direct
0.0000 0.0000 0.0000 Al
0.0000 0.5000 0.2500 Al
0.5000 0.0000 0.7500 Al
0.5000 0.5000 0.5000 Al
0.0000 0.0000 0.5000 Si
0.0000 0.5000 0.7500 Si
0.5000 0.0000 0.2500 Si
0.5000 0.5000 0.0000 Si
0.2382 0.2500 0.6250 P
0.2500 0.7382 0.8750 P
0.2500 0.7618 0.3750 P
0.2618 0.2500 0.1250 P
0.7382 0.7500 0.1250 P
0.7500 0.2382 0.3750 P
0.7500 0.2618 0.8750 P
0.7618 0.7500 0.6250 P
```

Output
The value obtained for the total moment is 0.00 μB/f.u. The value obtained for the raw formation energy is -0.17 eV/atom. Its offset from the most stable computed form is 2.1 meV/atom. The theoretical density comes out at 2.483 g/cm³.

First-principles (PBE) data for a relaxed structure of AlSi2P, as listed in Alexandria.

```
AlSi2P
1.0
3.5236 0.0000 0.0000
0.0000 3.5236 0.0000
0.0000 0.0000 5.0832
Al Si P
1 2 1
Direct
0.0000 0.0000 0.0000 Al
0.0000 0.5000 0.5000 Si
0.5000 0.0000 0.5000 Si
0.5000 0.5000 0.0000 P
```

Output
The value obtained for the total moment is 0.00 μB/f.u. The value obtained for the raw formation energy is 0.32 eV/atom. Its offset from the most stable computed form is 303.4 meV/atom. The theoretical density comes out at 3.003 g/cm³.

First-principles (PBE) data for a relaxed structure of AlSiP2, as listed in Alexandria.

```
AlSiP2
1.0
6.1295 0.0000 0.0000
0.0000 3.5224 0.0000
-2.0759 0.0000 5.8573
Al Si P
2 2 4
Direct
0.0000 0.0000 0.0000 Al
0.5000 0.5000 0.0000 Al
0.0000 0.5000 0.5000 Si
0.5000 0.0000 0.5000 Si
0.2462 0.0000 0.7365 P
0.2538 0.5000 0.2635 P
0.7462 0.5000 0.7365 P
0.7538 0.0000 0.2635 P
```

Output
The value obtained for the total moment is 0.00 μB/f.u. The value obtained for the raw formation energy is -0.14 eV/atom. Its offset from the most stable computed form is 31.6 meV/atom. The theoretical density comes out at 3.073 g/cm³.

First-principles (PBE) data for a relaxed structure of AlSiP, as listed in Alexandria.

```
AlSiP
1.0
3.0720 0.0000 0.0000
0.0000 3.0720 0.0000
0.0000 0.0000 9.5748
Al Si P
2 2 2
Direct
0.0000 0.0000 0.0000 Al
0.5000 0.5000 0.5000 Al
0.0000 0.0000 0.6955 Si
0.5000 0.5000 0.1955 Si
0.0000 0.0000 0.3232 P
0.5000 0.5000 0.8232 P
```

Output
The value obtained for the total moment is 0.00 μB/f.u. The value obtained for the raw formation energy is 0.21 eV/atom. Its offset from the most stable computed form is 567.7 meV/atom. The theoretical density comes out at 3.162 g/cm³.

First-principles (PBE) data for a relaxed structure of AlSiP2, as listed in Alexandria.

```
AlSiP2
1.0
3.4058 0.0000 0.0000
0.0000 3.4730 0.0000
0.0000 0.0000 5.4873
Al Si P
1 1 2
Direct
0.0000 0.0000 0.0000 Al
0.0000 0.5000 0.5000 Si
0.5000 0.0000 0.5000 P
0.5000 0.5000 0.0000 P
```

Output
The value obtained for the total moment is 0.00 μB/f.u. The value obtained for the raw formation energy is 0.28 eV/atom. Its offset from the most stable computed form is 445.0 meV/atom. The theoretical density comes out at 2.994 g/cm³.

First-principles (PBE) data for a relaxed structure of AlSiP3, as listed in Alexandria.

```
AlSiP3
1.0
4.6184 0.0000 0.0000
0.0000 4.6184 0.0000
0.0000 0.0000 4.6184
Al Si P
1 1 3
Direct
0.0000 0.0000 0.0000 Al
0.5000 0.5000 0.5000 Si
0.0000 0.0000 0.5000 P
0.0000 0.5000 0.0000 P
0.5000 0.0000 0.0000 P
```

Output
The value obtained for the total moment is 0.00 μB/f.u. The value obtained for the raw formation energy is 0.91 eV/atom. Its offset from the most stable computed form is 1218.5 meV/atom. The theoretical density comes out at 2.495 g/cm³.

First-principles (PBE) data for a relaxed structure of AlSi2P, as listed in Alexandria.

```
AlSi2P
1.0
3.4746 0.0000 0.0000
-1.7373 3.0091 0.0000
0.0000 0.0000 18.8414
Al Si P
3 6 3
Direct
0.0000 0.0000 0.0000 Al
0.3333 0.6667 0.6667 Al
0.6667 0.3333 0.3333 Al
0.0000 0.0000 0.2400 Si
0.0000 0.0000 0.4922 Si
0.3333 0.6667 0.1589 Si
0.3333 0.6667 0.9067 Si
0.6667 0.3333 0.5733 Si
0.6667 0.3333 0.8255 Si
0.0000 0.0000 0.7519 P
0.3333 0.6667 0.4185 P
0.6667 0.3333 0.0852 P
```

Output
The value obtained for the total moment is 0.00 μB/f.u. The value obtained for the raw formation energy is 0.10 eV/atom. Its offset from the most stable computed form is 84.4 meV/atom. The theoretical density comes out at 2.886 g/cm³.

First-principles (PBE) data for a relaxed structure of AlSi2P, as listed in Alexandria.

```
AlSi2P
1.0
2.6262 0.0000 0.0000
0.0000 3.4288 0.0000
-0.5068 0.0000 6.9701
Al Si P
1 2 1
Direct
0.0000 0.0000 0.0000 Al
0.4767 0.5000 0.2499 Si
0.5233 0.5000 0.7501 Si
0.5000 0.0000 0.5000 P
```

Output
The value obtained for the total moment is 0.00 μB/f.u. The value obtained for the raw formation energy is 0.22 eV/atom. Its offset from the most stable computed form is 204.3 meV/atom. The theoretical density comes out at 3.019 g/cm³.

First-principles (PBE) data for a relaxed structure of Sr2Al2Si2P, as listed in Alexandria.

```
Sr2Al2Si2P
1.0
4.1755 0.0000 0.0000
0.2824 6.0715 0.0000
1.9501 2.0375 7.0111
Sr Al Si P
2 2 2 1
Direct
0.1065 0.2979 0.2515 Sr
0.8935 0.7021 0.7485 Sr
0.4175 0.1855 0.7425 Al
0.5825 0.8145 0.2575 Al
0.1725 0.8348 0.0593 Si
0.8275 0.1652 0.9407 Si
0.5000 0.0000 0.5000 P
```

Output
The value obtained for the total moment is 0.00 μB/f.u. The value obtained for the raw formation energy is -0.38 eV/atom. The theoretical density comes out at 2.955 g/cm³.